# 1
VASP calculation (PBE-GGA) on a geometry-optimized Pm12Pr2Sc5 structure.

Results
DFT formation energy	3.0	eV/f.u.

a = 11.440 Å, b = 11.440 Å, c = 8.571 Å
α = 107.74°, β = 107.74°, γ = 35.63°
Element x y z (fractional)
Pm (0.045, 0.551, 0.708)
Pm (0.049, 0.049, 0.192)
Pm (0.137, 0.645, 0.110)
Pm (0.353, 0.353, 0.430)
Pm (0.355, 0.863, 0.890)
Pm (0.449, 0.955, 0.292)
Pm (0.551, 0.045, 0.708)
Pm (0.645, 0.137, 0.110)
Pm (0.647, 0.647, 0.570)
Pm (0.863, 0.355, 0.890)
Pm (0.951, 0.951, 0.808)
Pm (0.955, 0.449, 0.292)
Pr (0.247, 0.753, 0.500)
Pr (0.753, 0.247, 0.500)
Sc (0.152, 0.152, 0.598)
Sc (0.249, 0.249, 0.002)
Sc (0.500, 0.500, 0.000)
Sc (0.751, 0.751, 0.998)
Sc (0.848, 0.848, 0.402)

***

# 2
VASP calculation (PBE-GGA) on a geometry-optimized CsPuF5 structure.

Results
electronic total energy	-0.5033	Ry/atom

a = 6.811 Å, b = 6.811 Å, c = 9.055 Å
α = 106.95°, β = 106.95°, γ = 74.77°
Element x y z (fractional)
Cs (0.023, 0.977, 0.750)
Cs (0.977, 0.023, 0.250)
Pu (0.500, 0.500, 0.000)
Pu (0.500, 0.500, 0.500)
F (0.237, 0.750, 0.020)
F (0.250, 0.763, 0.480)
F (0.283, 0.301, 0.407)
F (0.301, 0.283, 0.907)
F (0.464, 0.536, 0.750)
F (0.536, 0.464, 0.250)
F (0.699, 0.717, 0.093)
F (0.717, 0.699, 0.593)
F (0.750, 0.237, 0.520)
F (0.763, 0.250, 0.980)

***

Question: Number 1 is which compound?
Answer: Pm12Pr2Sc5